# 1
Below is a relaxed structure of Tl2AgOsPd, with properties calculated at the PBE-GGA level.

```
5
Lattice="-4.140 2.420 2.123 1.119 -2.053 4.520 3.006 4.144 1.138" Properties=species:S:1:pos:R:3 pbc="T T T"
Tl 1.503 2.072 0.569
Tl -2.070 1.210 1.062
Os 0.559 -1.027 2.260
Pd -0.008 2.255 3.891
Ag 0.000 0.000 0.000
```

Computed properties:
Its space group is P4/mmm. Its volume is 140.0 Å³/cell. For the size of the total moment, the calculation gives 2.56 μB/cell. The energy of formation from the pure elements is 1.58 eV per atom.

# 2
Below is a relaxed structure of VAgOs2Pd, with properties calculated at the PBE-GGA level.

```
5
Lattice="-1.844 3.270 -2.339 2.444 -1.417 -3.908 -3.337 -2.680 -1.115" Properties=species:S:1:pos:R:3 pbc="T T T"
Os -1.669 -1.340 -0.558
Os -0.922 1.635 -1.169
Pd -1.368 -0.414 -3.681
Ag 1.222 -0.708 -1.954
V 0.000 0.000 0.000
```

Computed properties:
Its space group is P4/mmm. Its volume is 94.3 Å³/cell. For the size of the total moment, the calculation gives 0.00 μB/cell. The energy of formation from the pure elements is 1.57 eV per atom.

> Which of these has the lowest size of the total moment?

VAgOs2Pd

> Which value of energy of formation from the pure elements does entry 2 give?

1.57 eV per atom

> Which of these has the lowest energy of formation from the pure elements?

VAgOs2Pd

Copy entry 1 word for word.
Below is a relaxed structure of Tl2AgOsPd, with properties calculated at the PBE-GGA level.

```
5
Lattice="-4.140 2.420 2.123 1.119 -2.053 4.520 3.006 4.144 1.138" Properties=species:S:1:pos:R:3 pbc="T T T"
Tl 1.503 2.072 0.569
Tl -2.070 1.210 1.062
Os 0.559 -1.027 2.260
Pd -0.008 2.255 3.891
Ag 0.000 0.000 0.000
```

Computed properties:
Its space group is P4/mmm. Its volume is 140.0 Å³/cell. For the size of the total moment, the calculation gives 2.56 μB/cell. The energy of formation from the pure elements is 1.58 eV per atom.